AlCoSn2 | PBE | optimized geometry

Cell: 4.4958 4.4958 17.0465 Å, 90.00 90.00 90.00°
Space group I-42d (No. 122)
One atom of each set of equivalent atoms:
Al 0.0000 0.0000 0.0000 (multiplicity 4)
Co 0.0000 0.0000 0.5000 (multiplicity 4)
Sn 0.2138 0.2500 0.6250 (multiplicity 8)

Formation enthalpy at 0 K in kcal/mol of atoms: 8.1
Magnetic moment in μB per cell: 3.5
E in eV per formula unit: -17.45



Al2CoSn | PBE | optimized geometry

Cell: 7.8780 7.8780 4.8774 Å, 90.00 90.00 90.00°
Space group I-42d (No. 122)
One atom of each set of equivalent atoms:
Al 0.1577 0.2500 0.1250 (multiplicity 8)
Co 0.0000 0.0000 0.0000 (multiplicity 4)
Sn 0.0000 0.0000 0.5000 (multiplicity 4)

Formation enthalpy at 0 K in kcal/mol of atoms: 3.6
Magnetic moment in μB per cell: 0.0
E in eV per formula unit: -17.97



TaAlCo2Sn | PBE | optimized geometry

Cell: 4.2194 4.2194 4.9224 Å, 90.00 90.00 90.00°
Space group P4/mmm (No. 123)
One atom of each set of equivalent atoms:
Ta 0.0000 0.0000 0.0000 (multiplicity 1)
Al 0.5000 0.5000 0.5000 (multiplicity 1)
Co 0.0000 0.5000 0.5000 (multiplicity 2)
Sn 0.5000 0.5000 0.0000 (multiplicity 1)

Formation enthalpy at 0 K in kcal/mol of atoms: 24.7
Magnetic moment in μB per cell: 0.9
E in eV per formula unit: -28.45



AlCoSn2Te | PBE | optimized geometry

Cell: 5.2201 5.2201 5.3709 Å, 90.00 90.00 90.00°
Space group P4/mmm (No. 123)
One atom of each set of equivalent atoms:
Al 0.0000 0.0000 0.0000 (multiplicity 1)
Co 0.5000 0.5000 0.5000 (multiplicity 1)
Sn 0.0000 0.5000 0.0000 (multiplicity 2)
Te 0.0000 0.0000 0.5000 (multiplicity 1)

Uncorrected formation energy in meV/atom: 923
Magnetic moment in μB per cell: 2.1
E in eV per formula unit: -17.38